(1)
Compound: KZn2HPd
Source: Alexandria via LeMat-Bulk
Functional: PBE-GGA
Structure: relaxed

Results
symmetry	No. 123
total energy	-10.6	eV per cell

a = 4.233 Å, b = 4.233 Å, c = 4.679 Å
α = 90.00°, β = 90.00°, γ = 90.00°
Element x y z (fractional)
K: 0.000 0.000 0.000
Zn: 0.000 0.500 0.500
Zn: 0.500 0.000 0.500
H: 0.000 0.000 0.500
Pd: 0.500 0.500 0.000

(2)
Compound: TbPu3Pt8
Source: Alexandria via LeMat-Bulk
Functional: PBE-GGA
Structure: relaxed

Results
symmetry	No. 156
ΔH_f (0 K)	-82	kJ per mole of atoms

a = 5.458 Å, b = 5.458 Å, c = 8.925 Å
α = 90.00°, β = 90.00°, γ = 120.00°
Element x y z (fractional)
Tb: 0.000 0.000 0.000
Pu: 0.000 0.000 0.375
Pu: 0.667 0.333 0.493
Pu: 0.667 0.333 0.861
Pt: 0.164 0.329 0.683
Pt: 0.164 0.836 0.683
Pt: 0.333 0.667 0.431
Pt: 0.333 0.667 0.932
Pt: 0.503 0.005 0.180
Pt: 0.503 0.497 0.180
Pt: 0.671 0.836 0.683
Pt: 0.995 0.497 0.180

(3)
Compound: SrRe3
Source: Alexandria via LeMat-Bulk
Functional: PBE-GGA
Structure: relaxed

Results
symmetry	No. 65
ΔH_f (0 K)	82	kJ per mole of atoms

a = 3.170 Å, b = 4.566 Å, c = 9.812 Å
α = 90.00°, β = 90.00°, γ = 90.00°
Element x y z (fractional)
Sr: 0.000 0.000 0.000
Sr: 0.500 0.500 0.000
Re: 0.000 0.000 0.500
Re: 0.000 0.500 0.283
Re: 0.000 0.500 0.717
Re: 0.500 0.000 0.283
Re: 0.500 0.000 0.717
Re: 0.500 0.500 0.500

(4)
Compound: RuCl3
Source: Alexandria via LeMat-Bulk
Functional: PBE-GGA
Structure: relaxed

Results
symmetry	No. 166
uncorrected formation energy	-30	meV per atom

a = 3.559 Å, b = 3.559 Å, c = 24.364 Å
α = 90.00°, β = 90.00°, γ = 120.00°
Element x y z (fractional)
Ru: 0.000 0.000 0.000
Ru: 0.333 0.667 0.667
Ru: 0.667 0.333 0.333
Cl: 0.000 0.000 0.282
Cl: 0.000 0.000 0.500
Cl: 0.000 0.000 0.718
Cl: 0.333 0.667 0.167
Cl: 0.333 0.667 0.384
Cl: 0.333 0.667 0.949
Cl: 0.667 0.333 0.051
Cl: 0.667 0.333 0.616
Cl: 0.667 0.333 0.833